VASP calculation (PBE) on Er5In4O after structural relaxation.

For the formation energy (no corrections), the calculation gives -0.7448 eV per atom. The total DFT energy (no corrections) comes out at -4.62 eV/atom. As for the space group: I4. The calculation puts the calculated volume at 24.494 Å³ per atom.

Cell and atoms, written as POSCAR:
```
Er5In4O
1.0
5.583 0.000 0.000
2.791 6.624 0.000
2.791 0.000 6.624
Er In O
5 4 1
Cartesian
2.747 0.000 0.000
5.586 0.559 2.288
5.586 6.065 4.335
2.795 4.335 0.559
8.377 2.288 6.065
5.586 2.566 4.627
5.586 4.058 1.997
8.377 4.627 4.058
2.794 1.997 2.566
0.079 0.000 0.000
```